This record from the Open Quantum Materials Database describes a relaxed SmSbPO crystal. The functional is GGA-PBE.

a b c (Å): 5.3550 5.3550 5.5363
angles (deg): 90.00 90.00 90.00
Closest atoms and distances in Å follow each position.
Space group P4/nmm (No. 129, origin choice 2)
One atom of each set of equivalent atoms:
Sm: 0.2500 0.7500 0.0000 (multiplicity 2)  4 P 2.73, 2 O 2.77
Sb: 0.2500 0.2500 0.4619 (multiplicity 2)  1 P 2.45, 4 O 2.69
P: 0.2500 0.2500 0.9052 (multiplicity 2)  1 Sb 2.45, 4 Sm 2.73
O: 0.2500 0.7500 0.5000 (multiplicity 2)  4 Sb 2.69, 2 Sm 2.77

Summary:
**Distance to the lowest polymorph of the same formula**: 417 meV per atom
**E**: -22.70 eV/f.u.


This record from the Open Quantum Materials Database describes a relaxed KTbCu3S4 crystal. The functional is GGA-PBE.

a b c (Å): 6.1026 6.1026 6.1026
angles (deg): 90.00 90.00 90.00
Closest atoms and distances in Å follow each position.
Space group P-43m (No. 215)
One atom of each set of equivalent atoms:
K: 0.0000 0.0000 0.0000 (multiplicity 1)  4 S 2.81
Tb: 0.5000 0.5000 0.5000 (multiplicity 1)  4 S 2.48
Cu: 0.0000 0.5000 0.5000 (multiplicity 3)  4 S 2.59
S: 0.2656 0.2656 0.2656 (multiplicity 4)  1 Tb 2.48, 3 Cu 2.59

Summary:
**Distance to the lowest polymorph of the same formula**: 228 meV per atom
**E**: -38.45 eV/f.u.